w.
Entry from Alexandria: crystalline YBH2 at its relaxed geometry (PBE).

a = 5.712 Å, b = 5.712 Å, c = 5.712 Å
α = 140.37°, β = 140.37°, γ = 57.29°
Positions (direct):
Y: 0.375 0.625 0.750
Y: 0.625 0.375 0.250
B: 0.125 0.875 0.250
B: 0.875 0.125 0.750
H: 0.000 0.000 0.000
H: 0.000 0.000 0.500
H: 0.000 0.500 0.000
H: 0.500 0.000 0.500

Values from the calculation:
Size of the total moment (μB/cell): 0.00

x.
Entry from Alexandria: crystalline YBH2 at its relaxed geometry (PBE).

a = 3.748 Å, b = 3.748 Å, c = 3.748 Å
α = 60.00°, β = 60.00°, γ = 60.00°
Positions (direct):
Y: 0.000 0.000 0.000
B: 0.500 0.500 0.500
H: 0.250 0.250 0.250
H: 0.750 0.750 0.750

Values from the calculation:
Size of the total moment (μB/cell): 0.00

Which structure is the least stable? The one labeled w.

w.
Entry from Alexandria: crystalline ZnB2H8 at its relaxed geometry (PBE).

a = 7.815 Å, b = 7.815 Å, c = 7.815 Å
α = 129.01°, β = 129.01°, γ = 74.99°
Positions (direct):
Zn: 0.000 0.000 0.000
Zn: 0.750 0.250 0.500
B: 0.375 0.055 0.180
B: 0.805 0.125 0.180
B: 0.875 0.195 0.820
B: 0.945 0.625 0.820
H: 0.030 0.312 0.071
H: 0.041 0.759 0.071
H: 0.062 0.491 0.782
H: 0.241 0.959 0.929
H: 0.305 0.092 0.303
H: 0.445 0.248 0.287
H: 0.509 0.938 0.218
H: 0.688 0.970 0.929
H: 0.709 0.280 0.218
H: 0.720 0.291 0.782
H: 0.752 0.555 0.713
H: 0.788 0.002 0.697
H: 0.842 0.038 0.287
H: 0.908 0.695 0.697
H: 0.962 0.158 0.713
H: 0.998 0.212 0.303

Values from the calculation:
Size of the total moment (μB/cell): 0.00

x.
Entry from Alexandria: crystalline ZnB2H8 at its relaxed geometry (PBE).

a = 4.201 Å, b = 5.513 Å, c = 8.095 Å
α = 90.00°, β = 90.00°, γ = 90.00°
Positions (direct):
Zn: 0.000 0.203 0.000
Zn: 0.000 0.797 0.500
B: 0.000 0.036 0.738
B: 0.000 0.964 0.238
B: 0.500 0.409 0.967
B: 0.500 0.591 0.467
H: 0.000 0.080 0.369
H: 0.000 0.258 0.745
H: 0.000 0.742 0.245
H: 0.000 0.920 0.869
H: 0.251 0.018 0.170
H: 0.251 0.982 0.670
H: 0.279 0.449 0.067
H: 0.279 0.551 0.567
H: 0.500 0.201 0.915
H: 0.500 0.446 0.356
H: 0.500 0.554 0.856
H: 0.500 0.799 0.415
H: 0.721 0.449 0.067
H: 0.721 0.551 0.567
H: 0.749 0.018 0.170
H: 0.749 0.982 0.670

Values from the calculation:
Size of the total moment (μB/cell): 0.00

y.
Entry from Alexandria: crystalline ZnB2H8 at its relaxed geometry (PBE).

a = 5.106 Å, b = 5.106 Å, c = 3.987 Å
α = 92.25°, β = 92.25°, γ = 84.63°
Positions (direct):
Zn: 0.000 0.000 0.000
B: 0.216 0.216 0.673
B: 0.784 0.784 0.327
H: 0.008 0.697 0.227
H: 0.192 0.192 0.367
H: 0.303 0.992 0.773
H: 0.370 0.370 0.770
H: 0.630 0.630 0.230
H: 0.697 0.008 0.227
H: 0.808 0.808 0.633
H: 0.992 0.303 0.773

Values from the calculation:
Size of the total moment (μB/cell): 0.00

z.
Entry from Alexandria: crystalline ZnB2H8 at its relaxed geometry (PBE).

a = 6.471 Å, b = 6.471 Å, c = 6.758 Å
α = 121.34°, β = 121.34°, γ = 65.68°
Positions (direct):
Zn: 0.000 0.000 0.250
Zn: 0.000 0.000 0.750
B: 0.118 0.697 0.908
B: 0.303 0.882 0.592
B: 0.697 0.118 0.408
B: 0.882 0.303 0.092
H: 0.029 0.292 0.018
H: 0.030 0.292 0.303
H: 0.148 0.750 0.450
H: 0.248 0.497 0.873
H: 0.250 0.852 0.050
H: 0.292 0.029 0.518
H: 0.292 0.030 0.803
H: 0.497 0.248 0.373
H: 0.503 0.752 0.627
H: 0.708 0.970 0.197
H: 0.708 0.971 0.482
H: 0.750 0.148 0.950
H: 0.752 0.503 0.127
H: 0.852 0.250 0.550
H: 0.970 0.708 0.697
H: 0.971 0.708 0.982

Values from the calculation:
Size of the total moment (μB/cell): 0.00

Which structure is the least stable? The one labeled y.

w.
Entry from Alexandria: crystalline ZnBH4 at its relaxed geometry (PBE).

a = 3.888 Å, b = 3.888 Å, c = 3.404 Å
α = 91.18°, β = 91.18°, γ = 114.11°
Positions (direct):
Zn: 0.000 0.000 0.000
B: 0.500 0.500 0.000
H: 0.361 0.633 0.719
H: 0.367 0.639 0.281
H: 0.633 0.361 0.719
H: 0.639 0.367 0.281

Values from the calculation:
Size of the total moment (μB/cell): 0.00

x.
Entry from Alexandria: crystalline ZnBH4 at its relaxed geometry (PBE).

a = 7.221 Å, b = 7.221 Å, c = 6.957 Å
α = 105.47°, β = 105.47°, γ = 21.03°
Positions (direct):
Zn: 0.155 0.155 0.334
Zn: 0.845 0.845 0.666
B: 0.112 0.112 0.812
B: 0.888 0.888 0.188
H: 0.026 0.026 0.711
H: 0.129 0.129 0.992
H: 0.177 0.177 0.731
H: 0.425 0.425 0.232
H: 0.575 0.575 0.768
H: 0.823 0.823 0.269
H: 0.871 0.871 0.008
H: 0.974 0.974 0.289

Values from the calculation:
Size of the total moment (μB/cell): 0.00

Which structure is the least stable? The one labeled w.

w.
Entry from Alexandria: crystalline ZnB2H6 at its relaxed geometry (PBE).

a = 4.586 Å, b = 4.591 Å, c = 5.827 Å
α = 89.96°, β = 84.32°, γ = 72.26°
Positions (direct):
Zn: 0.000 0.000 0.000
B: 0.485 0.497 0.351
B: 0.515 0.503 0.649
H: 0.313 0.680 0.522
H: 0.335 0.354 0.276
H: 0.391 0.357 0.771
H: 0.609 0.643 0.229
H: 0.665 0.646 0.724
H: 0.687 0.320 0.478

Values from the calculation:
Size of the total moment (μB/cell): 0.00

x.
Entry from Alexandria: crystalline ZnB2H6 at its relaxed geometry (PBE).

a = 7.988 Å, b = 7.988 Å, c = 3.387 Å
α = 92.67°, β = 92.67°, γ = 79.75°
Positions (direct):
Zn: 0.106 0.894 0.750
Zn: 0.894 0.106 0.250
B: 0.245 0.374 0.794
B: 0.374 0.245 0.294
B: 0.626 0.755 0.706
B: 0.755 0.626 0.206
H: 0.124 0.305 0.788
H: 0.226 0.526 0.867
H: 0.305 0.124 0.288
H: 0.311 0.393 0.458
H: 0.393 0.311 0.958
H: 0.474 0.774 0.633
H: 0.526 0.226 0.367
H: 0.607 0.689 0.042
H: 0.689 0.607 0.542
H: 0.695 0.876 0.712
H: 0.774 0.474 0.133
H: 0.876 0.695 0.212

Values from the calculation:
Size of the total moment (μB/cell): 0.00

Which structure is the least stable? The one labeled x.

w.
Entry from Alexandria: crystalline ZnB3H at its relaxed geometry (PBE).

a = 4.001 Å, b = 4.001 Å, c = 4.001 Å
α = 90.00°, β = 90.00°, γ = 90.00°
Positions (direct):
Zn: 0.000 0.000 0.000
B: 0.000 0.000 0.500
B: 0.000 0.500 0.000
B: 0.500 0.000 0.000
H: 0.500 0.500 0.500

Values from the calculation:
Size of the total moment (μB/cell): 0.00

x.
Entry from Alexandria: crystalline ZnB3H at its relaxed geometry (PBE).

a = 3.365 Å, b = 3.365 Å, c = 3.365 Å
α = 90.00°, β = 90.00°, γ = 90.00°
Positions (direct):
Zn: 0.000 0.000 0.000
B: 0.000 0.500 0.500
B: 0.500 0.000 0.500
B: 0.500 0.500 0.000
H: 0.500 0.500 0.500

Values from the calculation:
Size of the total moment (μB/cell): 0.00

Which structure is the least stable? The one labeled w.

w.
Entry from Alexandria: crystalline ZrB3H at its relaxed geometry (PBE).

a = 3.511 Å, b = 3.511 Å, c = 3.511 Å
α = 90.00°, β = 90.00°, γ = 90.00°
Positions (direct):
Zr: 0.000 0.000 0.000
B: 0.000 0.500 0.500
B: 0.500 0.000 0.500
B: 0.500 0.500 0.000
H: 0.500 0.500 0.500

Values from the calculation:
Size of the total moment (μB/cell): 0.00

x.
Entry from Alexandria: crystalline ZrB3H at its relaxed geometry (PBE).

a = 4.605 Å, b = 4.605 Å, c = 4.605 Å
α = 90.00°, β = 90.00°, γ = 90.00°
Positions (direct):
Zr: 0.000 0.000 0.000
B: 0.000 0.000 0.500
B: 0.000 0.500 0.000
B: 0.500 0.000 0.000
H: 0.500 0.500 0.500

Values from the calculation:
Size of the total moment (μB/cell): 0.23

Which structure is the least stable? The one labeled x.

w.
Entry from Alexandria: crystalline HfHgB3 at its relaxed geometry (PBE).

a = 4.275 Å, b = 4.275 Å, c = 4.275 Å
α = 90.00°, β = 90.00°, γ = 90.00°
Positions (direct):
Hf: 0.000 0.000 0.000
Hg: 0.500 0.500 0.500
B: 0.000 0.500 0.500
B: 0.500 0.000 0.500
B: 0.500 0.500 0.000

Values from the calculation:
Size of the total moment (μB/cell): 0.00

x.
Entry from Alexandria: crystalline HfHgB3 at its relaxed geometry (PBE).

a = 4.494 Å, b = 4.494 Å, c = 4.494 Å
α = 90.00°, β = 90.00°, γ = 90.00°
Positions (direct):
Hf: 0.000 0.000 0.000
Hg: 0.500 0.500 0.500
B: 0.000 0.000 0.500
B: 0.000 0.500 0.000
B: 0.500 0.000 0.000

Values from the calculation:
Size of the total moment (μB/cell): 0.00

Which structure is the least stable? The one labeled w.

w.
Entry from Alexandria: crystalline Hf2HgB at its relaxed geometry (PBE).

a = 4.652 Å, b = 4.652 Å, c = 4.652 Å
α = 60.00°, β = 60.00°, γ = 60.00°
Positions (direct):
Hf: 0.250 0.250 0.250
Hf: 0.750 0.750 0.750
Hg: 0.000 0.000 0.000
B: 0.500 0.500 0.500

Values from the calculation:
Size of the total moment (μB/cell): 0.00

x.
Entry from Alexandria: crystalline Hf2HgB at its relaxed geometry (PBE).

a = 7.690 Å, b = 7.690 Å, c = 7.690 Å
α = 25.58°, β = 25.58°, γ = 25.58°
Positions (direct):
Hf: 0.225 0.225 0.225
Hf: 0.775 0.775 0.775
Hg: 0.000 0.000 0.000
B: 0.500 0.500 0.500

Values from the calculation:
Size of the total moment (μB/cell): 0.00

Which structure is the least stable? The one labeled w.